No. 1
The following is a DFT calculation (GGA-PBE) of a relaxed AlGa2SbPb crystal.

Cell and atoms, written as POSCAR:
```
AlGa2SbPb
1.0
4.952 0.000 0.000
0.000 4.952 0.000
0.000 0.000 5.549
Al Ga Sb Pb
1 2 1 1
Cartesian
0.000 0.000 0.000
0.000 2.476 0.000
2.476 0.000 0.000
2.476 2.476 2.774
0.000 0.000 2.774
```

Computed properties:
- symmetry = P4/mmm, No. 123
- E_form (uncorrected) (eV per atom) = 0.3112
- final energy (Ry/atom) = -0.23624
- V (Å³ per cell) = 136.1

No. 2
The following is a DFT calculation (GGA-PBE) of a relaxed K5CdBi2 crystal.

Cell and atoms, written as POSCAR:
```
K5CdBi2
1.0
3.111 1.796 10.360
-3.111 1.796 10.360
0.000 -3.592 10.360
K Cd Bi
5 1 2
Cartesian
0.000 0.000 0.000
0.000 0.000 3.913
0.000 0.000 8.690
0.000 0.000 22.392
0.000 0.000 27.168
0.000 0.000 15.541
0.000 0.000 12.643
0.000 0.000 18.439
```

Computed properties:
- symmetry = R-3m, No. 166
- energy of formation from the pure elements (eV per atom) = -0.31
- final energy (Ry/atom) = -0.15281
- V (Å³ per cell) = 347.3